VASP calculation (PBE) on a geometry-optimized ScMn2Ga2 structure.

Output
As for the offset from the most stable computed form: 24 meV per atom. The calculated formation energy is -0.184 eV/atom. As for the total magnetization: 4.260 μB per formula unit. For the total energy, the calculation gives -6.3287 eV/atom. The density of states at the Fermi level is 9.9 states/eV/cell.

a = 7.2250 Å, b = 7.2250 Å, c = 2.9349 Å
α = 90.00°, β = 90.00°, γ = 90.00°
Closest atoms and distances in Å follow each position.
Space group P4/mbm (No. 127)
Inequivalent atoms, fractional coordinates:
Sc 0.0000 0.0000 0.0000 (multiplicity 2)  4 Ga 2.85, 2 Sc 2.93, 8 Mn 3.05
Mn 0.1740 0.3260 0.5000 (multiplicity 4)  6 Ga 2.52-2.64
Ga 0.1256 0.6256 0.0000 (multiplicity 4)  6 Mn 2.52-2.64, 1 Ga 2.57